(1)
# Te4AsI PBE optimized geometry
data_Te4AsI
_chemical_formula_sum 'Te16 As4 I4'
_cell_length_a 12.519
_cell_length_b 9.935
_cell_length_c 8.382
_cell_angle_alpha 90.00
_cell_angle_beta 110.68
_cell_angle_gamma 90.00
_symmetry_space_group_name_H-M 'C 1 2/m 1'
_symmetry_Int_Tables_number 12
loop_
_symmetry_equiv_pos_as_xyz
'x,y,z'
'-x,-y,-z'
'-x,y,-z'
'x,-y,z'
'x+1/2,y+1/2,z'
'-x+1/2,-y+1/2,-z'
'-x+1/2,y+1/2,-z'
'x+1/2,-y+1/2,z'
loop_
_atom_site_label
_atom_site_type_symbol
_atom_site_fract_x
_atom_site_fract_y
_atom_site_fract_z
_atom_site_occupancy
Te1 Te 0.000 0.213 0.000 1
Te2 Te 0.092 0.000 0.253 1
Te3 Te 0.119 0.210 0.569 1
As1 As 0.132 0.000 0.781 1
I1 I 0.127 0.500 0.260 1
# - Spin magnetization: 0.00 μB per cell
# - Electronic total energy: -3.13 eV/atom
# - V: 40.6 A^3/atom
# - Formation energy from raw total energies: 1 meV/atom

(2)
# Te2As2I PBE optimized geometry
data_Te2As2I
_chemical_formula_sum 'Te8 As8 I4'
_cell_length_a 8.661
_cell_length_b 8.661
_cell_length_c 10.117
_cell_angle_alpha 90.00
_cell_angle_beta 90.00
_cell_angle_gamma 90.00
_symmetry_space_group_name_H-M 'I 41 m d'
_symmetry_Int_Tables_number 109
_symmetry_space_group_name_Hall 'I 4bw -2'
loop_
_atom_site_label
_atom_site_type_symbol
_atom_site_fract_x
_atom_site_fract_y
_atom_site_fract_z
_atom_site_occupancy
Te1 Te 0.000 0.192 0.000 1
As1 As 0.000 0.150 0.738 1
I1 I 0.000 0.000 0.430 1
# - Distance to the lowest polymorph of the same formula: 0 kJ/mol of formula units
# - Spin magnetization: 0.00 μB per cell
# - Electronic total energy: -3.35 eV/atom
# - V: 37.9 A^3/atom
# - Formation energy from raw total energies: 73 meV/atom

(3)
# Te2AsI2 PBE optimized geometry
data_Te2AsI2
_chemical_formula_sum 'Te4 As2 I4'
_cell_length_a 7.954
_cell_length_b 7.954
_cell_length_c 5.935
_cell_angle_alpha 90.00
_cell_angle_beta 90.00
_cell_angle_gamma 90.00
_symmetry_space_group_name_H-M 'P 4/m b m'
_symmetry_Int_Tables_number 127
_symmetry_space_group_name_Hall '-P 4 2ab'
loop_
_atom_site_label
_atom_site_type_symbol
_atom_site_fract_x
_atom_site_fract_y
_atom_site_fract_z
_atom_site_occupancy
Te1 Te 0.213 0.287 0.000 1
As1 As 0.000 0.000 0.000 1
I1 I 0.178 0.322 0.500 1
# - Distance to the lowest polymorph of the same formula: 74 kJ/mol of formula units
# - Spin magnetization: 0.00 μB per cell
# - Electronic total energy: -2.56 eV/atom
# - V: 37.5 A^3/atom
# - Formation energy from raw total energies: 244 meV/atom

(4)
# Te12As5I3 PBE optimized geometry
data_Te12As5I3
_chemical_formula_sum 'Te96 As40 I24'
_cell_length_a 17.844
_cell_length_b 17.844
_cell_length_c 17.844
_cell_angle_alpha 90.00
_cell_angle_beta 90.00
_cell_angle_gamma 90.00
_symmetry_space_group_name_H-M 'I a -3 d'
_symmetry_Int_Tables_number 230
_symmetry_space_group_name_Hall '-I 4bd 2c 3'
loop_
_atom_site_label
_atom_site_type_symbol
_atom_site_fract_x
_atom_site_fract_y
_atom_site_fract_z
_atom_site_occupancy
Te1 Te 0.045 0.074 0.644 1
As1 As 0.000 0.000 0.000 1
As2 As 0.000 0.250 0.375 1
I1 I 0.000 0.250 0.125 1
# - Spin magnetization: 0.00 μB per cell
# - Electronic total energy: -2.98 eV/atom
# - V: 35.5 A^3/atom
# - Formation energy from raw total energies: 305 meV/atom

(5)
# Te7As5I PBE optimized geometry
data_Te7As5I
_chemical_formula_sum 'Te7 As5 I1'
_cell_length_a 6.919
_cell_length_b 7.323
_cell_length_c 8.493
_cell_angle_alpha 104.64
_cell_angle_beta 101.31
_cell_angle_gamma 92.78
_symmetry_space_group_name_H-M 'P 1'
_symmetry_Int_Tables_number 1
loop_
_symmetry_equiv_pos_as_xyz
'x,y,z'
loop_
_atom_site_label
_atom_site_type_symbol
_atom_site_fract_x
_atom_site_fract_y
_atom_site_fract_z
_atom_site_occupancy
Te1 Te 0.000 0.000 0.000 1
Te2 Te 0.021 0.332 0.386 1
Te3 Te 0.244 0.688 0.136 1
Te4 Te 0.460 0.401 0.272 1
Te5 Te 0.546 0.606 0.744 1
Te6 Te 0.694 0.098 0.422 1
Te7 Te 0.750 0.328 0.888 1
As1 As 0.151 0.499 0.808 1
As2 As 0.396 0.143 0.968 1
As3 As 0.598 0.894 0.083 1
As4 As 0.830 0.549 0.209 1
As5 As 0.952 0.739 0.708 1
I1 I 0.310 0.939 0.571 1
# - Distance to the lowest polymorph of the same formula: 105 kJ/mol of formula units
# - Spin magnetization: 0.00 μB per cell
# - Electronic total energy: -3.54 eV/atom
# - V: 31.2 A^3/atom
# - Formation energy from raw total energies: 60 meV/atom

(6)
# Te4As2I PBE optimized geometry
data_Te4As2I
_chemical_formula_sum 'Te8 As4 I2'
_cell_length_a 8.199
_cell_length_b 8.465
_cell_length_c 8.672
_cell_angle_alpha 74.49
_cell_angle_beta 65.20
_cell_angle_gamma 79.05
_symmetry_space_group_name_H-M 'P 1'
_symmetry_Int_Tables_number 1
loop_
_symmetry_equiv_pos_as_xyz
'x,y,z'
loop_
_atom_site_label
_atom_site_type_symbol
_atom_site_fract_x
_atom_site_fract_y
_atom_site_fract_z
_atom_site_occupancy
Te1 Te 0.000 0.000 0.000 1
Te2 Te 0.035 0.038 0.532 1
Te3 Te 0.102 0.443 0.580 1
Te4 Te 0.188 0.383 0.027 1
Te5 Te 0.532 0.004 0.955 1
Te6 Te 0.605 0.430 0.588 1
Te7 Te 0.683 0.435 0.049 1
Te8 Te 0.732 0.841 0.680 1
As1 As 0.343 0.215 0.771 1
As2 As 0.811 0.244 0.753 1
As3 As 0.881 0.219 0.210 1
As4 As 0.957 0.611 0.839 1
I1 I 0.036 0.728 0.278 1
I2 I 0.481 0.088 0.384 1
# - Spin magnetization: 0.00 μB per cell
# - Electronic total energy: -3.33 eV/atom
# - V: 37.5 A^3/atom
# - Formation energy from raw total energies: 14 meV/atom

(7)
# Te3As2I PBE optimized geometry
data_Te3As2I
_chemical_formula_sum 'Te12 As8 I4'
_cell_length_a 17.205
_cell_length_b 4.153
_cell_length_c 13.186
_cell_angle_alpha 90.00
_cell_angle_beta 111.35
_cell_angle_gamma 90.00
_symmetry_space_group_name_H-M 'C 1 2/m 1'
_symmetry_Int_Tables_number 12
loop_
_symmetry_equiv_pos_as_xyz
'x,y,z'
'-x,-y,-z'
'-x,y,-z'
'x,-y,z'
'x+1/2,y+1/2,z'
'-x+1/2,-y+1/2,-z'
'-x+1/2,y+1/2,-z'
'x+1/2,-y+1/2,z'
loop_
_atom_site_label
_atom_site_type_symbol
_atom_site_fract_x
_atom_site_fract_y
_atom_site_fract_z
_atom_site_occupancy
Te1 Te 0.060 0.000 0.452 1
Te2 Te 0.112 0.500 0.744 1
Te3 Te 0.152 0.000 0.010 1
As1 As 0.166 0.500 0.580 1
As2 As 0.232 0.000 0.871 1
I1 I 0.190 0.500 0.320 1
# - Spin magnetization: 0.00 μB per cell
# - Electronic total energy: -3.42 eV/atom
# - V: 36.6 A^3/atom
# - Formation energy from raw total energies: -45 meV/atom

(8)
# Te7As5I PBE optimized geometry
data_Te7As5I
_chemical_formula_sum 'Te14 As10 I2'
_cell_length_a 14.994
_cell_length_b 4.043
_cell_length_c 14.485
_cell_angle_alpha 90.00
_cell_angle_beta 108.34
_cell_angle_gamma 90.00
_symmetry_space_group_name_H-M 'C 1 m 1'
_symmetry_Int_Tables_number 8
loop_
_symmetry_equiv_pos_as_xyz
'x,y,z'
'x,-y,z'
'x+1/2,y+1/2,z'
'x+1/2,-y+1/2,z'
loop_
_atom_site_label
_atom_site_type_symbol
_atom_site_fract_x
_atom_site_fract_y
_atom_site_fract_z
_atom_site_occupancy
Te1 Te 0.000 0.000 0.000 1
Te2 Te 0.032 0.000 0.723 1
Te3 Te 0.095 0.000 0.440 1
Te4 Te 0.181 0.500 0.223 1
Te5 Te 0.220 0.500 0.952 1
Te6 Te 0.313 0.000 0.781 1
Te7 Te 0.403 0.000 0.175 1
As1 As 0.027 0.500 0.874 1
As2 As 0.052 0.500 0.545 1
As3 As 0.195 0.000 0.084 1
As4 As 0.345 0.500 0.668 1
As5 As 0.370 0.500 0.287 1
I1 I 0.361 0.000 0.474 1
# - Distance to the lowest polymorph of the same formula: 21 kJ/mol of formula units
# - Spin magnetization: 0.00 μB per cell
# - Electronic total energy: -3.61 eV/atom
# - V: 32.1 A^3/atom
# - Formation energy from raw total energies: -7 meV/atom

Repeat the fourth record exactly.
# Te12As5I3 PBE optimized geometry
data_Te12As5I3
_chemical_formula_sum 'Te96 As40 I24'
_cell_length_a 17.844
_cell_length_b 17.844
_cell_length_c 17.844
_cell_angle_alpha 90.00
_cell_angle_beta 90.00
_cell_angle_gamma 90.00
_symmetry_space_group_name_H-M 'I a -3 d'
_symmetry_Int_Tables_number 230
_symmetry_space_group_name_Hall '-I 4bd 2c 3'
loop_
_atom_site_label
_atom_site_type_symbol
_atom_site_fract_x
_atom_site_fract_y
_atom_site_fract_z
_atom_site_occupancy
Te1 Te 0.045 0.074 0.644 1
As1 As 0.000 0.000 0.000 1
As2 As 0.000 0.250 0.375 1
I1 I 0.000 0.250 0.125 1
# - Spin magnetization: 0.00 μB per cell
# - Electronic total energy: -2.98 eV/atom
# - V: 35.5 A^3/atom
# - Formation energy from raw total energies: 305 meV/atom